[1]
# PBE LiZrGa, relaxed
data_LiZrGa
_cell_length_a 5.158
_cell_length_b 8.684
_cell_length_c 5.135
_cell_angle_alpha 90.00
_cell_angle_beta 105.02
_cell_angle_gamma 90.00
_space_group_name_H-M_alt 'C 1 2/m 1'
_space_group_IT_number 12
loop_
_space_group_symop_operation_xyz
'x,y,z'
'-x,-y,-z'
'-x,y,-z'
'x,-y,z'
'x+1/2,y+1/2,z'
'-x+1/2,-y+1/2,-z'
'-x+1/2,y+1/2,-z'
'x+1/2,-y+1/2,z'
loop_
_atom_site_label
_atom_site_type_symbol
_atom_site_fract_x
_atom_site_fract_y
_atom_site_fract_z
Li1 Li 0.000 0.155 0.000
Zr1 Zr 0.000 0.343 0.500
Ga1 Ga 0.000 0.000 0.500
Ga2 Ga 0.000 0.500 0.000
# energy above the lowest structure with this stoichiometry = 166 meV/atom
# E = -14.0 eV/f.u.
# total magnetization = 0.00 μB per formula unit

[2]
# PBE LiZrGa, relaxed
data_LiZrGa
_cell_length_a 4.7924
_cell_length_b 4.7924
_cell_length_c 2.9502
_cell_angle_alpha 90.00
_cell_angle_beta 90.00
_cell_angle_gamma 120.00
_space_group_name_H-M_alt 'P -6 m 2'
_space_group_IT_number 187
_space_group_name_Hall 'P -6 2'
loop_
_atom_site_label
_atom_site_type_symbol
_atom_site_fract_x
_atom_site_fract_y
_atom_site_fract_z
Li1 Li 0.0000 0.0000 0.0000
Zr1 Zr 0.6667 0.3333 0.5000
Ga1 Ga 0.3333 0.6667 0.5000
# energy above the lowest structure with this stoichiometry = 384 meV/atom
# E = -13.4 eV/f.u.
# total magnetization = 0.00 μB per formula unit

[3]
# PBE LiZrGa, relaxed
data_LiZrGa
_cell_length_a 3.374
_cell_length_b 4.215
_cell_length_c 7.782
_cell_angle_alpha 90.00
_cell_angle_beta 90.00
_cell_angle_gamma 90.00
_space_group_name_H-M_alt 'P m m n'
_space_group_IT_number 59
loop_
_space_group_symop_operation_xyz
'x,y,z'
'-x,-y,-z'
'-x+1/2,-y+1/2,z'
'x+1/2,y+1/2,-z'
'x+1/2,-y,-z'
'-x+1/2,y,z'
'-x,y+1/2,-z'
'x,-y+1/2,z'
loop_
_atom_site_label
_atom_site_type_symbol
_atom_site_fract_x
_atom_site_fract_y
_atom_site_fract_z
Li1 Li 0.250 0.250 0.019
Zr1 Zr 0.250 0.750 0.624
Ga1 Ga 0.250 0.750 0.253
# energy above the lowest structure with this stoichiometry = 5 meV/atom
# E = -14.5 eV/f.u.
# total magnetization = 0.00 μB per formula unit

[4]
# PBE LiZrGa, relaxed
data_LiZrGa
_cell_length_a 6.275
_cell_length_b 6.275
_cell_length_c 6.275
_cell_angle_alpha 90.00
_cell_angle_beta 90.00
_cell_angle_gamma 90.00
_space_group_name_H-M_alt 'F -4 3 m'
_space_group_IT_number 216
_space_group_name_Hall 'F -4 2 3'
loop_
_atom_site_label
_atom_site_type_symbol
_atom_site_fract_x
_atom_site_fract_y
_atom_site_fract_z
Li1 Li 0.000 0.000 0.000
Zr1 Zr 0.000 0.000 0.500
Ga1 Ga 0.250 0.250 0.250
# energy above the lowest structure with this stoichiometry = 319 meV/atom
# E = -13.6 eV/f.u.
# total magnetization = 0.00 μB per formula unit

[5]
# PBE LiZrGa3, relaxed
data_LiZrGa3
_cell_length_a 5.244
_cell_length_b 5.244
_cell_length_c 5.244
_cell_angle_alpha 90.00
_cell_angle_beta 90.00
_cell_angle_gamma 90.00
_space_group_name_H-M_alt 'P m -3 m'
_space_group_IT_number 221
_space_group_name_Hall '-P 4 2 3'
loop_
_atom_site_label
_atom_site_type_symbol
_atom_site_fract_x
_atom_site_fract_y
_atom_site_fract_z
Li1 Li 0.000 0.000 0.000
Zr1 Zr 0.500 0.500 0.500
Ga1 Ga 0.000 0.500 0.500
# energy above the lowest structure with this stoichiometry = 263 meV/atom
# E = -17.7 eV/f.u.
# total magnetization = 0.00 μB per formula unit

[6]
# PBE LiZrGa, relaxed
data_LiZrGa
_cell_length_a 4.786
_cell_length_b 14.905
_cell_length_c 3.240
_cell_angle_alpha 90.00
_cell_angle_beta 90.00
_cell_angle_gamma 90.00
_space_group_name_H-M_alt 'C m c m'
_space_group_IT_number 63
_space_group_name_Hall '-C 2c 2'
loop_
_atom_site_label
_atom_site_type_symbol
_atom_site_fract_x
_atom_site_fract_y
_atom_site_fract_z
Li1 Li 0.000 0.225 0.250
Zr1 Zr 0.000 0.418 0.750
Ga1 Ga 0.000 0.075 0.750
# energy above the lowest structure with this stoichiometry = 112 meV/atom
# E = -14.2 eV/f.u.
# total magnetization = 0.00 μB per formula unit

[7]
# PBE LiZrGa6, relaxed
data_LiZrGa6
_cell_length_a 8.235
_cell_length_b 8.253
_cell_length_c 4.011
_cell_angle_alpha 90.00
_cell_angle_beta 90.00
_cell_angle_gamma 90.00
_space_group_name_H-M_alt 'C m m m'
_space_group_IT_number 65
_space_group_name_Hall '-C 2 2'
loop_
_atom_site_label
_atom_site_type_symbol
_atom_site_fract_x
_atom_site_fract_y
_atom_site_fract_z
Li1 Li 0.000 0.000 0.000
Zr1 Zr 0.000 0.500 0.000
Ga1 Ga 0.000 0.242 0.500
Ga2 Ga 0.242 0.000 0.500
Ga3 Ga 0.250 0.250 0.000
# E = -31.2 eV/f.u.
# total magnetization = 0.00 μB per formula unit

[8]
# PBE LiZrGa, relaxed
data_LiZrGa
_cell_length_a 3.065
_cell_length_b 3.065
_cell_length_c 11.831
_cell_angle_alpha 90.00
_cell_angle_beta 90.00
_cell_angle_gamma 90.00
_space_group_name_H-M_alt 'P 4 m m'
_space_group_IT_number 99
loop_
_space_group_symop_operation_xyz
'x,y,z'
'-y,x,z'
'-x,-y,z'
'y,-x,z'
'-x,y,z'
'y,x,z'
'x,-y,z'
'-y,-x,z'
loop_
_atom_site_label
_atom_site_type_symbol
_atom_site_fract_x
_atom_site_fract_y
_atom_site_fract_z
Li1 Li 0.000 0.000 0.000
Li2 Li 0.500 0.500 0.158
Zr1 Zr 0.000 0.000 0.365
Zr2 Zr 0.000 0.000 0.695
Ga1 Ga 0.500 0.500 0.527
Ga2 Ga 0.500 0.500 0.870
# energy above the lowest structure with this stoichiometry = 68 meV/atom
# E = -14.3 eV/f.u.
# total magnetization = 0.00 μB per formula unit

What is the formula in the first record?
LiZrGa

Look up the total magnetization of the fifth one.
0.00 μB per formula unit

Number 1 is which compound?
LiZrGa